Computed, not measured: Sm3TmGa2 after structural relaxation at the PBE-GGA level of DFT.

a = 5.064 Å, b = 9.589 Å, c = 6.578 Å
α = 90.00°, β = 90.00°, γ = 90.00°
Space group Pmc2_1 (No. 26)
Inequivalent atoms, fractional coordinates:
Sm: 0.000 0.046 0.000
Sm: 0.000 0.332 0.343
Sm: 0.500 0.180 0.708
Tm: 0.500 0.449 0.049
Ga: 0.000 0.354 0.823
Ga: 0.500 0.147 0.232

Computed properties:
- mass density (Mg/m³) = 7.90
- E_form (kcal/mol of atoms) = -9.40



Computed, not measured: Sm2TmGa3 after structural relaxation at the PBE-GGA level of DFT.

a = 4.626 Å, b = 20.914 Å, c = 6.269 Å
α = 90.00°, β = 90.00°, γ = 90.00°
Space group Cmcm (No. 63)
Inequivalent atoms, fractional coordinates:
Sm: 0.000 0.035 0.250
Sm: 0.000 0.147 0.750
Tm: 0.000 0.327 0.750
Ga: 0.000 0.256 0.250
Ga: 0.000 0.437 0.048

Computed properties:
- mass density (Mg/m³) = 7.43
- E_form (kcal/mol of atoms) = -11.17



Computed, not measured: Sm5TmGa6 after structural relaxation at the PBE-GGA level of DFT.

a = 8.864 Å, b = 15.418 Å, c = 5.132 Å
α = 90.00°, β = 125.26°, γ = 90.00°
Space group C2/m (No. 12)
Inequivalent atoms, fractional coordinates:
Sm: 0.000 0.000 0.000
Sm: 0.000 0.165 0.500
Sm: 0.000 0.329 0.000
Tm: 0.000 0.500 0.500
Ga: 0.238 0.500 0.238
Ga: 0.243 0.337 0.743

Computed properties:
- mass density (Mg/m³) = 7.77
- E_form (kcal/mol of atoms) = -13.11



Computed, not measured: Sm2Tm3Ga4 after structural relaxation at the PBE-GGA level of DFT.

a = 6.793 Å, b = 15.779 Å, c = 8.485 Å
α = 90.00°, β = 90.00°, γ = 90.00°
Space group Cmce (No. 64)
Inequivalent atoms, fractional coordinates:
Sm: 0.000 0.107 0.082
Tm: 0.000 0.000 0.500
Tm: 0.250 0.215 0.750
Ga: 0.000 0.185 0.457
Ga: 0.250 0.033 0.750

Computed properties:
- mass density (Mg/m³) = 7.93
- E_form (kcal/mol of atoms) = -9.80